Crystalline NaTbTl2Br6 at its relaxed geometry, computed with PBE-GGA.

Cell lengths 7.6843, 8.1502, 13.3918 Å; angles 90.00, 124.10, 90.00 degrees
Sites, in units of the cell vectors:
Na: 0.0000 0.0000 0.0000
Na: 0.0000 0.5000 0.5000
Tb: 0.5000 0.0000 0.5000
Tb: 0.5000 0.5000 0.0000
Tl: 0.2180 0.0790 0.7454
Tl: 0.2180 0.4210 0.2454
Tl: 0.7820 0.5790 0.7546
Tl: 0.7820 0.9210 0.2546
Br: 0.1518 0.1883 0.4509
Br: 0.1518 0.3117 0.9509
Br: 0.2629 0.7091 0.4463
Br: 0.2629 0.7909 0.9463
Br: 0.3635 0.0269 0.2564
Br: 0.3635 0.4731 0.7564
Br: 0.6365 0.5269 0.2436
Br: 0.6365 0.9731 0.7436
Br: 0.7371 0.2091 0.0537
Br: 0.7371 0.2909 0.5537
Br: 0.8482 0.6883 0.0491
Br: 0.8482 0.8117 0.5491

Results
ΔE_f (raw) in eV/atom: -1.43
Mass density in Mg/m³: 5.12
Symmetry: P2_1/c, No. 14
DOS(E_F) in states/eV per cell: 0.0